[1]
DFT (GGA-PBE) results for a geometry-optimized Tl2Si2Au structure.

The value obtained for the density of states at the Fermi level is 1.95 states/eV/f.u. The value obtained for the distance to the lowest polymorph of the same formula is 0 meV per atom. The value obtained for the formation energy (no corrections) is 62 kJ/mol of formula units. The value obtained for the size of the total moment is 0.0 μB/f.u.

Unit cell a=6.3664 b=6.3664 c=5.6699 alpha=90.00 beta=90.00 gamma=90.00
With the nearest neighbours (Å) after each atom.
Element x y z (fractional)
Tl  0.1841  0.3159  0.0000  6 Si 3.29-3.49, 5 Tl 3.29-3.31, 4 Au 3.67
Tl  0.3159  0.8159  0.0000  6 Si 3.29-3.49, 5 Tl 3.29-3.31, 4 Au 3.67
Tl  0.6841  0.1841  0.0000  6 Si 3.29-3.49, 5 Tl 3.29-3.31, 4 Au 3.67
Tl  0.8159  0.6841  0.0000  6 Si 3.29-3.49, 5 Tl 3.29-3.31, 4 Au 3.67
Si  0.1303  0.6303  0.5000  1 Si 2.35, 2 Au 2.50
Si  0.3697  0.1303  0.5000  1 Si 2.35, 2 Au 2.50
Si  0.6303  0.8697  0.5000  1 Si 2.35, 2 Au 2.50
Si  0.8697  0.3697  0.5000  1 Si 2.35, 2 Au 2.50
Au  0.0000  0.0000  0.5000  4 Si 2.50
Au  0.5000  0.5000  0.5000  4 Si 2.50



[2]
DFT (GGA-PBE) results for a geometry-optimized NdErThMg structure.

The value obtained for the density of states at the Fermi level is 6.77 states/eV/f.u. The value obtained for the distance to the lowest polymorph of the same formula is 134 meV per atom. The value obtained for the size of the total moment is 0.0 μB/f.u.

Unit cell a=5.5603 b=5.5603 c=5.5603 alpha=60.00 beta=60.00 gamma=60.00
With the nearest neighbours (Å) after each atom.
Element x y z (fractional)
Nd  0.0000  0.0000  0.0000  4 Mg 3.41, 4 Er 3.41
Er  0.2500  0.2500  0.2500  4 Th 3.41, 4 Nd 3.41
Th  0.5000  0.5000  0.5000  4 Mg 3.41, 4 Er 3.41
Mg  0.7500  0.7500  0.7500  4 Th 3.41, 4 Nd 3.41



[3]
DFT (GGA-PBE) results for a geometry-optimized NbInTc2 structure.

The value obtained for the density of states at the Fermi level is 5.47 states/eV/f.u. The value obtained for the size of the total moment is 0.0 μB/f.u. The total energy is -7.5877 eV per atom.

Unit cell a=6.0732 b=6.0732 c=6.0732 alpha=153.79 beta=131.71 gamma=55.77
With the nearest neighbours (Å) after each atom.
Element x y z (fractional)
Nb  0.0000  0.0000  0.0000  2 Tc 2.53, 2 Nb 2.75
In  0.5000  0.5000  0.0000  2 In 2.75, 2 Tc 2.84, 4 Nb 2.84
Tc  0.2358  0.2358  0.0000  1 Nb 2.53, 2 Tc 2.75
Tc  0.7642  0.7642  0.0000  1 Nb 2.53, 2 Tc 2.75



[4]
DFT (GGA-PBE) results for a geometry-optimized Tm6SnSb2 structure.

The value obtained for the density of states at the Fermi level is 9.02 states/eV/f.u. The value obtained for the formation energy (no corrections) is -464 kJ/mol of formula units. The value obtained for the size of the total moment is 0.0 μB/f.u.

Unit cell a=6.1918 b=8.2320 c=11.7899 alpha=90.00 beta=121.46 gamma=90.00
With the nearest neighbours (Å) after each atom.
Element x y z (fractional)
Tm  0.0572  0.1993  0.4450  1 Sn 2.96, 3 Sb 3.13-3.31
Tm  0.0572  0.3007  0.9450  1 Sn 2.96, 3 Sb 3.13-3.31
Tm  0.3201  0.6578  0.4512  1 Sn 2.97, 2 Sb 3.09-3.18, 1 Tm 3.22
Tm  0.3201  0.8422  0.9512  1 Sn 2.97, 2 Sb 3.09-3.18, 1 Tm 3.22
Tm  0.3567  0.0399  0.2208  1 Sn 2.95, 2 Sb 3.14-3.19
Tm  0.3567  0.4601  0.7208  1 Sn 2.95, 2 Sb 3.14-3.19
Tm  0.6433  0.5399  0.2792  1 Sn 2.95, 2 Sb 3.14-3.19
Tm  0.6433  0.9601  0.7792  1 Sn 2.95, 2 Sb 3.14-3.19
Tm  0.6799  0.1578  0.0488  1 Sn 2.97, 2 Sb 3.09-3.18, 1 Tm 3.22
Tm  0.6799  0.3422  0.5488  1 Sn 2.97, 2 Sb 3.09-3.18, 1 Tm 3.22
Tm  0.9428  0.6993  0.0550  1 Sn 2.96, 3 Sb 3.13-3.31
Tm  0.9428  0.8007  0.5550  1 Sn 2.96, 3 Sb 3.13-3.31
Sn  0.5000  0.0000  0.5000  6 Tm 2.95-2.97
Sn  0.5000  0.5000  0.0000  6 Tm 2.95-2.97
Sb  0.1454  0.1145  0.7412  8 Tm 3.09-3.42
Sb  0.1454  0.3855  0.2412  8 Tm 3.09-3.42
Sb  0.8546  0.6145  0.7588  8 Tm 3.09-3.42
Sb  0.8546  0.8855  0.2588  8 Tm 3.09-3.42



[5]
DFT (GGA-PBE) results for a geometry-optimized CaNi6Sb4 structure.

The value obtained for the density of states at the Fermi level is 6.43 states/eV/f.u. The value obtained for the formation energy (no corrections) is -258 kJ/mol of formula units. The value obtained for the size of the total moment is 0.0 μB/f.u.

Unit cell a=6.5172 b=6.5172 c=6.5172 alpha=120.37 beta=120.37 gamma=89.36
With the nearest neighbours (Å) after each atom.
Element x y z (fractional)
Ca  0.0000  0.0000  0.0000  4 Sb 3.08, 8 Ni 3.24-3.26
Ni  0.0000  0.5000  0.5000  4 Ni 2.60, 4 Sb 2.81
Ni  0.2468  0.2468  0.6846  4 Sb 2.46-2.53, 4 Ni 2.60-2.70
Ni  0.4378  0.7532  0.0000  4 Sb 2.46-2.53, 4 Ni 2.60-2.70
Ni  0.5000  0.0000  0.5000  4 Ni 2.60, 4 Sb 2.81
Ni  0.5622  0.5622  0.3154  4 Sb 2.46-2.53, 4 Ni 2.60-2.70
Ni  0.7532  0.4378  0.0000  4 Sb 2.46-2.53, 4 Ni 2.60-2.70
Sb  0.1158  0.5406  0.0000  4 Ni 2.46-2.53
Sb  0.4594  0.4594  0.5752  4 Ni 2.46-2.53
Sb  0.5406  0.1158  0.0000  4 Ni 2.46-2.53
Sb  0.8842  0.8842  0.4248  4 Ni 2.46-2.53



[6]
DFT (GGA-PBE) results for a geometry-optimized ZrIn3Cl structure.

The value obtained for the density of states at the Fermi level is 3.15 states/eV/f.u. The value obtained for the distance to the lowest polymorph of the same formula is 49 meV per atom. The value obtained for the formation energy (no corrections) is 225 kJ/mol of formula units. The value obtained for the size of the total moment is 0.0 μB/f.u.

Unit cell a=5.2187 b=5.2187 c=5.2187 alpha=90.00 beta=90.00 gamma=90.00
With the nearest neighbours (Å) after each atom.
Element x y z (fractional)
Zr  0.0000  0.0000  0.0000  12 In 3.69
In  0.0000  0.5000  0.5000  2 Cl 2.61
In  0.5000  0.0000  0.5000  2 Cl 2.61
In  0.5000  0.5000  0.0000  2 Cl 2.61
Cl  0.5000  0.5000  0.5000  6 In 2.61



[7]
DFT (GGA-PBE) results for a geometry-optimized BaLiAg2 structure.

The value obtained for the density of states at the Fermi level is 1.58 states/eV/f.u. The value obtained for the distance to the lowest polymorph of the same formula is 203 meV per atom. The value obtained for the size of the total moment is 0.0 μB/f.u.

Unit cell a=5.3189 b=5.3189 c=3.9769 alpha=90.00 beta=90.00 gamma=90.26
With the nearest neighbours (Å) after each atom.
Element x y z (fractional)
Ba  0.0000  0.0000  0.0000  8 Ag 3.32
Li  0.5000  0.5000  0.0000  8 Ag 3.32
Ag  0.0000  0.5000  0.5000  4 Ba 3.32, 4 Li 3.32
Ag  0.5000  0.0000  0.5000  4 Ba 3.32, 4 Li 3.32



[8]
DFT (GGA-PBE) results for a geometry-optimized ErTmRuPt structure.

The value obtained for the density of states at the Fermi level is 1.11 states/eV/f.u. The value obtained for the distance to the lowest polymorph of the same formula is 0 meV per atom. The value obtained for the size of the total moment is 0.0 μB/f.u.

Unit cell a=3.4379 b=3.4379 c=6.6720 alpha=90.00 beta=90.00 gamma=90.00
With the nearest neighbours (Å) after each atom.
Element x y z (fractional)
Er  0.0000  0.0000  0.0000  4 Ru 2.93, 4 Pt 2.98, 1 Tm 3.26
Tm  0.0000  0.0000  0.4889  4 Ru 2.92, 4 Pt 2.96, 1 Er 3.26
Ru  0.5000  0.5000  0.2458  4 Tm 2.92, 4 Er 2.93
Pt  0.5000  0.5000  0.7429  4 Tm 2.96, 4 Er 2.98, 1 Ru 3.32



[9]
DFT (GGA-PBE) results for a geometry-optimized AlZnH3 structure.

The value obtained for the density of states at the Fermi level is 0.70 states/eV/f.u. The value obtained for the distance to the lowest polymorph of the same formula is 0 meV per atom. The value obtained for the size of the total moment is 0.0 μB/f.u.

Unit cell a=3.6608 b=3.6608 c=3.6608 alpha=90.00 beta=90.00 gamma=90.00
With the nearest neighbours (Å) after each atom.
Element x y z (fractional)
Al  0.0000  0.0000  0.0000  6 H 1.83
Zn  0.5000  0.5000  0.5000  12 H 2.59
H  0.0000  0.0000  0.5000  2 Al 1.83
H  0.0000  0.5000  0.0000  2 Al 1.83
H  0.5000  0.0000  0.0000  2 Al 1.83



[10]
DFT (GGA-PBE) results for a geometry-optimized Pm2HfScO6 structure.

The value obtained for the density of states at the Fermi level is 4.51 states/eV/f.u. The value obtained for the formation energy (no corrections) is -3206 kJ/mol of formula units. The value obtained for the size of the total moment is 0.0 μB/f.u.

Unit cell a=5.6581 b=5.8703 c=9.8113 alpha=90.00 beta=125.02 gamma=90.00
With the nearest neighbours (Å) after each atom.
Element x y z (fractional)
Pm  0.2464  0.0615  0.2498  4 O 2.34-2.40
Pm  0.2464  0.4385  0.7498  4 O 2.34-2.40
Pm  0.7536  0.5615  0.2502  4 O 2.34-2.40
Pm  0.7536  0.9385  0.7502  4 O 2.34-2.40
Hf  0.0000  0.0000  0.5000  6 O 2.10-2.12
Hf  0.0000  0.5000  0.0000  6 O 2.10-2.12
Sc  0.5000  0.0000  0.0000  6 O 2.13-2.18
Sc  0.5000  0.5000  0.5000  6 O 2.13-2.18
O  0.1278  0.1950  0.9451  1 Hf 2.11, 1 Sc 2.18
O  0.1278  0.3050  0.4451  1 Hf 2.11, 1 Sc 2.18
O  0.2596  0.6889  0.9481  1 Hf 2.12, 1 Sc 2.16
O  0.2596  0.8111  0.4481  1 Hf 2.12, 1 Sc 2.16
O  0.3534  0.0444  0.7478  1 Hf 2.10, 1 Sc 2.13, 1 Pm 2.34
O  0.3534  0.4556  0.2478  1 Hf 2.10, 1 Sc 2.13, 1 Pm 2.34
O  0.6466  0.5444  0.7522  1 Hf 2.10, 1 Sc 2.13, 1 Pm 2.34
O  0.6466  0.9556  0.2522  1 Hf 2.10, 1 Sc 2.13, 1 Pm 2.34
O  0.7404  0.1889  0.5519  1 Hf 2.12, 1 Sc 2.16
O  0.7404  0.3111  0.0519  1 Hf 2.12, 1 Sc 2.16
O  0.8722  0.6950  0.5549  1 Hf 2.11, 1 Sc 2.18
O  0.8722  0.8050  0.0549  1 Hf 2.11, 1 Sc 2.18



[11]
DFT (GGA-PBE) results for a geometry-optimized RbCoAgBr6 structure.

The value obtained for the density of states at the Fermi level is 12.75 states/eV/f.u. The value obtained for the formation energy (no corrections) is -481 kJ/mol of formula units. The value obtained for the size of the total moment is 1.0 μB/f.u.

Unit cell a=6.9040 b=6.9040 c=7.5215 alpha=90.00 beta=90.00 gamma=120.00
With the nearest neighbours (Å) after each atom.
Element x y z (fractional)
Rb  0.0000  0.0000  0.0000  6 Br 3.49
Co  0.6667  0.3333  0.5000  6 Br 2.42
Ag  0.3333  0.6667  0.5000  6 Br 2.79
Br  0.3918  0.0408  0.6875  1 Co 2.42
Br  0.3918  0.3510  0.3125  1 Co 2.42
Br  0.6490  0.0408  0.3125  1 Co 2.42
Br  0.6490  0.6082  0.6875  1 Co 2.42
Br  0.9592  0.3510  0.6875  1 Co 2.42
Br  0.9592  0.6082  0.3125  1 Co 2.42



[12]
DFT (GGA-PBE) results for a geometry-optimized LiBi3P6O20 structure.

The value obtained for the density of states at the Fermi level is 0.00 states/eV/f.u. The value obtained for the distance to the lowest polymorph of the same formula is 3 meV per atom. The value obtained for the formation energy (no corrections) is -5731 kJ/mol of formula units. The value obtained for the size of the total moment is 0.0 μB/f.u.

Unit cell a=13.4545 b=9.1842 c=9.1842 alpha=108.18 beta=90.00 gamma=90.00
With the nearest neighbours (Å) after each atom.
Element x y z (fractional)
Li  0.0000  0.0000  0.0000  2 O 1.88
Li  0.5000  0.5000  0.5000  2 O 1.88
Bi  0.0000  0.7021  0.7021  4 O 2.20-2.45
Bi  0.2211  0.7588  0.3408  5 O 2.23-2.38
Bi  0.2789  0.2588  0.8408  5 O 2.23-2.38
Bi  0.5000  0.2021  0.2021  4 O 2.20-2.45
Bi  0.7211  0.8408  0.2588  5 O 2.23-2.38
Bi  0.7789  0.3408  0.7588  5 O 2.23-2.38
P  0.0456  0.3127  0.6982  4 O 1.51-1.65
P  0.1991  0.1851  0.4632  4 O 1.50-1.60
P  0.2026  0.8669  0.7797  4 O 1.51-1.63
P  0.2974  0.3669  0.2797  4 O 1.51-1.63
P  0.3009  0.6851  0.9632  4 O 1.50-1.60
P  0.4544  0.8127  0.1982  4 O 1.51-1.65
P  0.5456  0.1982  0.8127  4 O 1.51-1.65
P  0.6991  0.9632  0.6851  4 O 1.50-1.60
P  0.7026  0.2797  0.3669  4 O 1.51-1.63
P  0.7974  0.7797  0.8669  4 O 1.51-1.63
P  0.8009  0.4632  0.1851  4 O 1.50-1.60
P  0.9544  0.6982  0.3127  4 O 1.51-1.65
O  0.0600  0.4833  0.7140  1 P 1.54
O  0.0616  0.6932  0.2619  1 P 1.51
O  0.0879  0.2199  0.5259  2 P 1.60-1.65
O  0.1076  0.2653  0.8150  1 P 1.53
O  0.1116  0.9039  0.8868  1 P 1.54
O  0.1699  0.7438  0.6290  1 P 1.55
O  0.2023  0.0220  0.3610  1 P 1.50
O  0.2096  0.2958  0.3592  2 P 1.60-1.63
O  0.2260  0.7376  0.0927  1 P 1.52
O  0.2466  0.5005  0.2470  1 P 1.51
O  0.2534  0.0005  0.7470  1 P 1.51
O  0.2740  0.2376  0.5927  1 P 1.52
O  0.2904  0.7958  0.8592  2 P 1.60-1.63
O  0.2977  0.5220  0.8610  1 P 1.50
O  0.3301  0.2438  0.1290  1 P 1.55
O  0.3884  0.4039  0.3868  1 P 1.54
O  0.3923  0.7653  0.3150  1 P 1.53
O  0.4121  0.7199  0.0259  2 P 1.60-1.65
O  0.4384  0.1931  0.7619  1 P 1.51
O  0.4400  0.9833  0.2140  1 P 1.54
O  0.5600  0.2140  0.9833  1 P 1.54
O  0.5616  0.7619  0.1931  1 P 1.51
O  0.5879  0.0259  0.7199  2 P 1.60-1.65
O  0.6076  0.3150  0.7653  1 P 1.53
O  0.6116  0.3868  0.4039  1 P 1.54
O  0.6699  0.1290  0.2438  1 P 1.55
O  0.7023  0.8610  0.5220  1 P 1.50
O  0.7096  0.8592  0.7958  2 P 1.60-1.63
O  0.7260  0.5927  0.2376  1 P 1.52
O  0.7466  0.7470  0.0005  1 P 1.51
O  0.7534  0.2470  0.5005  1 P 1.51
O  0.7740  0.0927  0.7376  1 P 1.52
O  0.7904  0.3592  0.2958  2 P 1.60-1.63
O  0.7977  0.3610  0.0220  1 P 1.50
O  0.8301  0.6290  0.7438  1 P 1.55
O  0.8884  0.8868  0.9039  1 P 1.54
O  0.8924  0.8150  0.2653  1 P 1.53
O  0.9121  0.5259  0.2199  2 P 1.60-1.65
O  0.9384  0.2619  0.6932  1 P 1.51
O  0.9400  0.7140  0.4833  1 P 1.54